1.
A plane-wave DFT calculation with PBE was carried out for LaTb2Ni after structural relaxation.

Summary:
The space-group type is R-3m (166). The calculation puts the density of states at the Fermi level at 1.9397 states/eV/atom. The calculation puts the relative energy among the computed polymorphs at 251 meV per atom.

a = 10.7346 Å, b = 10.7346 Å, c = 10.7346 Å
α = 19.38°, β = 19.38°, γ = 19.38°
Fractional positions:
La (0.0000, 0.0000, 0.0000)
Tb (0.1122, 0.1122, 0.1122)
Tb (0.8878, 0.8878, 0.8878)
Ni (0.5000, 0.5000, 0.5000)

---

2.
A plane-wave DFT calculation with PBE was carried out for LaTbNi4 after structural relaxation.

Summary:
The space-group type is F-43m (216). The calculation puts the density of states at the Fermi level at 0.7481 states/eV/atom.

a = 5.1465 Å, b = 5.1465 Å, c = 5.1465 Å
α = 60.00°, β = 60.00°, γ = 60.00°
Fractional positions:
La (0.0000, 0.0000, 0.0000)
Tb (0.7500, 0.7500, 0.7500)
Ni (0.3758, 0.3758, 0.3758)
Ni (0.3758, 0.3758, 0.8726)
Ni (0.3758, 0.8726, 0.3758)
Ni (0.8726, 0.3758, 0.3758)

---

3.
A plane-wave DFT calculation with PBE was carried out for LaTbNi17 after structural relaxation.

Summary:
The space-group type is R3m (160). The calculation puts the density of states at the Fermi level at 1.3942 states/eV/atom.

a = 6.2904 Å, b = 6.2904 Å, c = 6.2904 Å
α = 83.14°, β = 83.14°, γ = 83.14°
Fractional positions:
La (0.0000, 0.0000, 0.0000)
Tb (0.6803, 0.6803, 0.6803)
Ni (0.0512, 0.3432, 0.6320)
Ni (0.0512, 0.6320, 0.3432)
Ni (0.1903, 0.6848, 0.6848)
Ni (0.2444, 0.2444, 0.2444)
Ni (0.3432, 0.0512, 0.6320)
Ni (0.3434, 0.3434, 0.8412)
Ni (0.3432, 0.6320, 0.0512)
Ni (0.3434, 0.8412, 0.3434)
Ni (0.4416, 0.4416, 0.4416)
Ni (0.4949, 0.9965, 0.9965)
Ni (0.6320, 0.0512, 0.3432)
Ni (0.6320, 0.3432, 0.0512)
Ni (0.6848, 0.1903, 0.6848)
Ni (0.6848, 0.6848, 0.1903)
Ni (0.8412, 0.3434, 0.3434)
Ni (0.9965, 0.4949, 0.9965)
Ni (0.9965, 0.9965, 0.4949)

---

4.
A plane-wave DFT calculation with PBE was carried out for LaTbNi10 after structural relaxation.

Summary:
The space-group type is Pmmm (47). The calculation puts the density of states at the Fermi level at 1.1297 states/eV/atom.

a = 3.9678 Å, b = 4.9446 Å, c = 8.5611 Å
α = 90.00°, β = 90.00°, γ = 90.00°
Fractional positions:
La (0.0000, 0.0000, 0.0000)
Tb (0.0000, 0.5000, 0.5000)
Ni (0.0000, 0.0000, 0.3370)
Ni (0.0000, 0.0000, 0.6630)
Ni (0.0000, 0.5000, 0.1706)
Ni (0.0000, 0.5000, 0.8294)
Ni (0.5000, 0.0000, 0.5000)
Ni (0.5000, 0.2531, 0.2555)
Ni (0.5000, 0.2531, 0.7445)
Ni (0.5000, 0.5000, 0.0000)
Ni (0.5000, 0.7469, 0.2555)
Ni (0.5000, 0.7469, 0.7445)

---

5.
A plane-wave DFT calculation with PBE was carried out for LaTbNi2 after structural relaxation.

Summary:
The space-group type is Pm (6). The calculation puts the density of states at the Fermi level at 0.6346 states/eV/atom. The calculation puts the relative energy among the computed polymorphs at 0 meV per atom.

a = 3.7893 Å, b = 4.3618 Å, c = 5.5364 Å
α = 90.00°, β = 109.93°, γ = 90.00°
Fractional positions:
La (0.0000, 0.0000, 0.0000)
Tb (0.7258, 0.5000, 0.4521)
Ni (0.2839, 0.0000, 0.5693)
Ni (0.4318, 0.5000, 0.8647)

---

6.
A plane-wave DFT calculation with PBE was carried out for LaTb3Ni8 after structural relaxation.

Summary:
The space-group type is R3m (160). The calculation puts the density of states at the Fermi level at 0.6160 states/eV/atom.

a = 8.8672 Å, b = 8.8672 Å, c = 8.8672 Å
α = 33.47°, β = 33.47°, γ = 33.47°
Fractional positions:
La (0.0000, 0.0000, 0.0000)
Tb (0.1255, 0.1255, 0.1255)
Tb (0.4999, 0.4999, 0.4999)
Tb (0.6242, 0.6242, 0.6242)
Ni (0.0627, 0.0627, 0.5579)
Ni (0.0627, 0.5579, 0.0627)
Ni (0.0646, 0.5636, 0.5636)
Ni (0.3121, 0.3121, 0.3121)
Ni (0.5579, 0.0627, 0.0627)
Ni (0.5636, 0.0646, 0.5636)
Ni (0.5636, 0.5636, 0.0646)
Ni (0.8125, 0.8125, 0.8125)

---

7.
A plane-wave DFT calculation with PBE was carried out for LaTb2Ni after structural relaxation.

Summary:
The space-group type is R3m (160). The calculation puts the density of states at the Fermi level at 1.3424 states/eV/atom. The calculation puts the relative energy among the computed polymorphs at 107 meV per atom.

a = 9.3566 Å, b = 9.3566 Å, c = 9.3566 Å
α = 23.91°, β = 23.91°, γ = 23.91°
Fractional positions:
La (0.0000, 0.0000, 0.0000)
Tb (0.2263, 0.2263, 0.2263)
Tb (0.4469, 0.4469, 0.4469)
Ni (0.8373, 0.8373, 0.8373)

---

8.
A plane-wave DFT calculation with PBE was carried out for LaTb2Ni after structural relaxation.

Summary:
The space-group type is Cmcm (63). The calculation puts the density of states at the Fermi level at 1.1101 states/eV/atom. The calculation puts the relative energy among the computed polymorphs at 24 meV per atom.

a = 6.4832 Å, b = 6.4832 Å, c = 7.3469 Å
α = 90.00°, β = 90.00°, γ = 135.33°
Fractional positions:
La (0.0382, 0.9618, 0.7500)
La (0.9618, 0.0382, 0.2500)
Tb (0.3448, 0.6552, 0.5275)
Tb (0.3448, 0.6552, 0.9725)
Tb (0.6552, 0.3448, 0.0275)
Tb (0.6552, 0.3448, 0.4725)
Ni (0.1924, 0.8076, 0.2500)
Ni (0.8076, 0.1924, 0.7500)

---

Energy of formation from the pure elements for the records above, in order: 0.033 -0.368 -0.175 -0.302 -0.376 -0.402 -0.111 -0.194 eV per atom
Mass density for the records above, in order: 7.187 9.175 8.819 8.747 8.015 9.543 7.241 7.885 Mg/m³
Volume for the records above, in order: 119.1 96.4 244.0 168.0 86.0 188.8 118.2 217.1 Å³ per cell